A plane-wave DFT calculation with GGA-PBE was carried out for a geometry-optimized HoCo2Ge2 structure.

The structure in POSCAR format:
```
HoCo2Ge2
1.0
5.7808 0.0102 0.0000
3.0836 4.8896 0.0000
-4.4322 -2.4499 2.7876
Ge Ho Co
2 1 2
Cartesian
3.3060 1.8274 0.0000
5.5584 3.0724 0.0000
0.0000 0.0000 0.0000
2.8904 0.0051 1.3938
1.5418 2.4448 1.3938
```

Crystal system: tetragonal
Formation energy, eV/atom: -0.610



A plane-wave DFT calculation with GGA-PBE was carried out for a geometry-optimized Ho2Co5Ge3 structure.

The structure in POSCAR format:
```
Ho2Co5Ge3
1.0
-3.3125 -1.7861 1.3109
0.2932 -4.0852 -4.8253
8.1688 -6.3771 5.8953
Co Ge Ho
10 6 4
Cartesian
4.1130 -7.6380 6.0434
-0.0202 -6.1455 -2.3671
1.2155 -5.7025 1.3590
1.7667 -2.8313 0.6066
1.0348 -4.0316 3.1791
3.3702 -9.2422 1.9808
4.0376 -7.9899 -0.6838
5.2646 -7.4241 3.1874
0.9374 -3.2300 -2.0322
3.9891 -6.4665 1.2692
-0.0399 -4.5667 -0.2656
2.0689 -7.8090 0.6454
3.0710 -4.3067 1.8921
5.3345 -9.7032 0.2587
4.2929 -9.2624 4.2848
0.9797 -4.7007 -3.9293
2.6412 -6.5956 3.7448
6.5308 -10.1053 2.7339
-1.3819 -2.1351 -0.3436
2.5029 -5.5782 -1.2758
```

Crystal system: orthorhombic
Formation energy, eV/atom: -0.353



A plane-wave DFT calculation with GGA-PBE was carried out for a geometry-optimized Ho2Co3Ge5 structure.

The structure in POSCAR format:
```
Ho2Co3Ge5
1.0
3.9804 0.0000 -0.6780
0.0000 6.6369 0.0000
0.0382 0.0000 12.2464
Ge Co Ho
10 6 4
Cartesian
3.8177 0.4879 10.3893
2.3756 5.7751 1.9238
3.5316 4.9915 8.7097
2.8232 2.9669 4.5509
2.8512 0.2069 4.7156
1.6429 2.4567 9.6445
0.2008 3.8064 1.1790
1.1954 6.2853 7.0174
1.1673 3.5254 6.8527
0.4869 1.6730 2.8586
3.8044 3.0293 10.3114
1.5919 0.0456 9.3451
0.8961 1.5861 5.2604
0.2141 6.3477 1.2570
2.4266 3.3640 2.2232
3.1224 4.9046 6.3079
1.9328 4.9032 11.3461
2.0858 1.5848 0.2222
3.3120 1.6580 7.4207
0.7065 4.9764 4.1476
```

Crystal system: orthorhombic
Formation energy, eV/atom: -0.516



Record order is preserved below.
Spin magnetization: 0.0001; 0.0018; 0.0000 μB per atom
Record order is preserved below.
Mass density: 9.03; 9.44; 8.92 g cm⁻³
Record order is preserved below.
DOS at the Fermi energy: 2.9; 14.9; 12.6 states/eV per cell